(1)
# RbNa7Hg5

A relaxed RbNa7Hg5 crystal (PBE, Alexandria).

Raw total energy: -1.0837 eV/atom
Fermi-level density of states: 4.71 states/eV/f.u.
Total magnetization: 0.00 μB per formula unit
E_form: -0.183 eV per atom

a b c (Å): 6.3043 11.2570 11.1011
angles (deg): 90.00 90.00 90.00
Last column: nearest neighbours and their distance in Å.
Space group Imm2 (No. 44)
Inequivalent atoms, fractional coordinates:
Rb1 0.0000 0.0000 0.0000 x2  10 Na 3.67-4.09, 2 Hg 3.93
Na1 0.0000 0.0000 0.3544 x2  4 Hg 3.37, 5 Na 3.42-3.62
Na2 0.0000 0.0000 0.6698 x2  6 Hg 3.40-3.42, 3 Na 3.50-3.77, 1 Rb 3.67
Na3 0.0000 0.2889 0.4974 x4  5 Hg 3.19-3.32, 3 Na 3.52-3.55
Na4 0.0000 0.3487 0.0192 x4  5 Hg 3.28-3.49, 4 Na 3.41-3.59
Na5 0.0000 0.5000 0.7348 x2  4 Hg 3.16, 2 Na 3.42
Hg1 0.0000 0.5000 0.2889 x2  6 Na 3.32-3.44, 4 Hg 3.32
Hg2 0.2458 0.2563 0.7536 x8  3 Hg 3.10-3.32, 6 Na 3.16-3.40

***

(2)
# Rb4NaHg

A relaxed Rb4NaHg crystal (PBE, Alexandria).

Raw total energy: -0.9751 eV/atom
Fermi-level density of states: 3.70 states/eV/f.u.
Total magnetization: 0.00 μB per formula unit
E_form: -0.060 eV per atom

a b c (Å): 11.7657 17.6503 7.8930
angles (deg): 90.00 111.82 90.00
Last column: nearest neighbours and their distance in Å.
Space group C2/c (No. 15)
Inequivalent atoms, fractional coordinates:
Rb1 0.1106 0.1739 0.0681 x8  2 Hg 3.83-3.85, 1 Na 4.27
Rb2 0.2129 0.4233 0.3488 x8  2 Hg 3.93-3.96, 1 Na 4.25
Na1 0.0000 0.3755 0.7500 x4  8 Rb 4.25-4.53
Hg1 0.0000 0.0026 0.7500 x4  8 Rb 3.83-3.96, 2 Hg 3.95

***

(3)
# Rb2Na2Hg

A relaxed Rb2Na2Hg crystal (PBE, Alexandria).

Raw total energy: -1.0153 eV/atom
Fermi-level density of states: 2.90 states/eV/f.u.
Excess energy over the best structure of this formula in the dataset: 48.4 meV per atom
Total magnetization: 0.00 μB per formula unit
E_form: -0.040 eV per atom

a b c (Å): 8.5160 8.5160 6.6518
angles (deg): 90.00 90.00 90.00
Last column: nearest neighbours and their distance in Å.
Space group P4/mbm (No. 127)
Inequivalent atoms, fractional coordinates:
Rb1 0.1861 0.3139 0.0000 x4  2 Na 3.88
Na1 0.1473 0.6473 0.5000 x4  2 Hg 3.26, 1 Na 3.55
Hg1 0.0000 0.0000 0.5000 x2  4 Na 3.26

***

(4)
# Rb2NaHg16

A relaxed Rb2NaHg16 crystal (PBE, Alexandria).

Raw total energy: -0.5652 eV/atom
Fermi-level density of states: 8.64 states/eV/f.u.
Total magnetization: 0.00 μB per formula unit
E_form: -0.140 eV per atom

a b c (Å): 10.6874 10.6874 17.4982
angles (deg): 90.00 90.00 120.00
Last column: nearest neighbours and their distance in Å.
Space group R3m (No. 160, hexagonal axes)
Inequivalent atoms, fractional coordinates:
Rb1 0.0000 0.0000 0.0000 x3  15 Hg 3.80-4.22
Rb2 0.0000 0.0000 0.3377 x3  16 Hg 3.79-4.22
Na1 0.0000 0.0000 0.7498 x3  10 Hg 3.29-3.46
Hg1 0.0000 0.0000 0.5619 x3  1 Na 3.29, 12 Hg 3.36-3.63
Hg2 0.9996 0.2934 0.6666 x18  6 Hg 3.13-3.38, 1 Na 3.46
Hg3 0.0195 0.5097 0.8066 x9  6 Hg 3.14-3.30
Hg4 0.1698 0.3395 0.8655 x9  6 Hg 3.14-3.23
Hg5 0.1711 0.3421 0.4974 x9  9 Hg 3.14-3.38, 1 Na 3.32

***

(5)
# RbNaHg

A relaxed RbNaHg crystal (PBE, Alexandria).

Raw total energy: -1.0047 eV/atom
Fermi-level density of states: 1.23 states/eV/f.u.
Excess energy over the best structure of this formula in the dataset: 27.2 meV per atom
Total magnetization: 0.00 μB per formula unit
E_form: -0.142 eV per atom

a b c (Å): 4.2704 4.2704 13.4149
angles (deg): 90.00 90.00 90.00
Last column: nearest neighbours and their distance in Å.
Space group I4mm (No. 107)
Inequivalent atoms, fractional coordinates:
Rb1 0.0000 0.0000 0.0000 x2  1 Na 3.73, 4 Hg 3.88
Na1 0.0000 0.0000 0.2783 x2  4 Hg 3.29
Hg1 0.0000 0.0000 0.6818 x2  4 Na 3.29

***

(6)
# Rb3Na2Hg7

A relaxed Rb3Na2Hg7 crystal (PBE, Alexandria).

Raw total energy: -0.8511 eV/atom
Fermi-level density of states: 4.45 states/eV/f.u.
Total magnetization: 0.00 μB per formula unit
E_form: -0.213 eV per atom

a b c (Å): 6.6347 6.6347 31.4787
angles (deg): 90.00 90.00 120.00
Last column: nearest neighbours and their distance in Å.
Space group R-3m (No. 166, hexagonal axes)
Inequivalent atoms, fractional coordinates:
Rb1 0.0000 0.0000 0.0000 x3  6 Na 3.83, 12 Hg 4.20
Rb2 0.0000 0.0000 0.1412 x6  12 Hg 3.81-3.95, 3 Rb 4.15
Na1 0.0000 0.0000 0.3348 x6  6 Hg 3.20-3.21
Hg1 0.0000 0.0000 0.5000 x3  6 Hg 3.32
Hg2 0.0093 0.5046 0.9184 x18  2 Na 3.20-3.21, 5 Hg 3.23-3.41

***

Please write out number 2 again, unchanged.
# Rb4NaHg

A relaxed Rb4NaHg crystal (PBE, Alexandria).

Raw total energy: -0.9751 eV/atom
Fermi-level density of states: 3.70 states/eV/f.u.
Total magnetization: 0.00 μB per formula unit
E_form: -0.060 eV per atom

a b c (Å): 11.7657 17.6503 7.8930
angles (deg): 90.00 111.82 90.00
Last column: nearest neighbours and their distance in Å.
Space group C2/c (No. 15)
Inequivalent atoms, fractional coordinates:
Rb1 0.1106 0.1739 0.0681 x8  2 Hg 3.83-3.85, 1 Na 4.27
Rb2 0.2129 0.4233 0.3488 x8  2 Hg 3.93-3.96, 1 Na 4.25
Na1 0.0000 0.3755 0.7500 x4  8 Rb 4.25-4.53
Hg1 0.0000 0.0026 0.7500 x4  8 Rb 3.83-3.96, 2 Hg 3.95